The following is a PBE+U calculation of an optimized crystal structure of Ba2YCoO5, from Alexandria via LeMat-Bulk. Values from VASP.

Cell and atoms, written as Quantum ESPRESSO input:
```
&SYSTEM
  ibrav = 0, nat = 18, ntyp = 4
/
ATOMIC_SPECIES
Ba 137.33 Ba.upf
Y 88.91 Y.upf
Co 58.93 Co.upf
O 16.00 O.upf
ATOMIC_POSITIONS crystal
Ba 0.099 0.901 0.500
Ba 0.143 0.857 0.177
Ba 0.857 0.143 0.677
Ba 0.901 0.099 0.000
Y 0.199 0.801 0.885
Y 0.801 0.199 0.385
Co 0.445 0.555 0.261
Co 0.555 0.445 0.761
O 0.039 0.961 0.836
O 0.289 0.711 0.505
O 0.321 0.679 0.254
O 0.342 0.658 0.851
O 0.494 0.506 0.629
O 0.506 0.494 0.129
O 0.658 0.342 0.351
O 0.679 0.321 0.754
O 0.711 0.289 0.005
O 0.961 0.039 0.336
CELL_PARAMETERS angstrom
1.782 -7.447 0.000
1.782 7.447 0.000
0.000 0.000 11.856
```

- VASP energy: -6.85 eV per atom